Below is a relaxed structure of Nd2YPa, with properties calculated at the PBE level.

The structure in POSCAR format:
```
Nd2YPa
1.0
3.4589 0.0000 0.0000
0.0000 3.4589 0.0000
0.0000 0.0000 10.4974
Y Nd Pa
1 2 1
Direct
0.5000 0.5000 0.0000
0.0000 0.0000 0.7310
0.0000 0.0000 0.2690
0.5000 0.5000 0.5000
```

**ΔH_f (0 K)**: 0.17 eV/atom
**Energy above the lowest structure with this stoichiometry**: 0 meV/atom
**Space-group type**: No. 123
**D(E_F)**: 6.36 states/eV/cell

***

Below is a relaxed structure of Sr2HfF8, with properties calculated at the PBE level.

The structure in POSCAR format:
```
Sr2HfF8
1.0
-0.3757 1.8649 -3.3520
-1.6712 -4.3725 -2.2453
-6.3653 2.7531 4.4609
F Sr Hf
8 2 1
Direct
0.4121 0.6310 0.8241
0.0142 0.7964 0.0284
0.7680 0.7357 0.5359
0.3838 0.0915 0.7675
0.9858 0.2036 0.9716
0.5879 0.3690 0.1759
0.2320 0.2643 0.4641
0.6162 0.9085 0.2325
0.8322 0.3323 0.6644
0.1678 0.6677 0.3356
0.5000 0.0000 0.0000
```

**E_form (uncorrected)**: -3.849 eV/atom
**Space-group type**: No. 12
**D(E_F)**: 0.00 states/eV/cell

***

Below is a relaxed structure of ZrAsP, with properties calculated at the PBE level.

The structure in POSCAR format:
```
ZrAsP
1.0
4.9372 -0.0083 -0.0020
2.4602 4.2806 0.0020
-3.6978 -2.1378 2.4812
As Zr P
1 1 1
Direct
0.0060 0.0060 0.0000
0.6734 0.6734 0.0000
0.3206 0.3206 0.0000
```

**ΔH_f (0 K)**: -0.74 eV/atom
**Energy above the lowest structure with this stoichiometry**: 147 meV/atom
**Space-group type**: No. 42
**D(E_F)**: 0.95 states/eV/cell

***

Below is a relaxed structure of RbWCl5, with properties calculated at the PBE level.

The structure in POSCAR format:
```
RbWCl5
1.0
7.7044 1.2747 1.6828
2.9805 7.2180 1.6828
0.8977 0.7135 9.4802
Cl Rb W
10 2 2
Direct
0.6563 0.0874 0.0993
0.9126 0.3437 0.4007
0.3450 0.9069 0.4665
0.0818 0.9182 0.2500
0.9182 0.0818 0.7500
0.0931 0.6550 0.0335
0.6550 0.0931 0.5335
0.3437 0.9126 0.9007
0.0874 0.6563 0.5993
0.9069 0.3450 0.9665
0.5124 0.4876 0.2500
0.4876 0.5124 0.7500
0.0000 0.0000 0.0000
0.0000 0.0000 0.5000
```

**E_form (uncorrected)**: -1.094 eV/atom
**Space-group type**: No. 15
**D(E_F)**: 6.56 states/eV/cell